The following is a DFT calculation (PBE-GGA) of crystalline Nd2Sm5Tm12 at its relaxed geometry.

Cell lengths 9.246, 9.036, 8.564 Å; angles 91.80, 90.00, 120.77 degrees
Fractional coordinates of all 19 atoms:
Nd: 0.678 0.000 0.000
Nd: 0.322 0.000 0.000
Sm: 0.231 0.461 0.573
Sm: 0.295 0.591 0.985
Sm: 0.000 0.000 0.500
Sm: 0.705 0.409 0.015
Sm: 0.769 0.539 0.427
Tm: 0.920 0.840 0.123
Tm: 0.028 0.699 0.757
Tm: 0.671 0.699 0.757
Tm: 0.182 0.742 0.340
Tm: 0.560 0.742 0.340
Tm: 0.443 0.887 0.667
Tm: 0.557 0.113 0.333
Tm: 0.818 0.258 0.660
Tm: 0.440 0.258 0.660
Tm: 0.972 0.301 0.243
Tm: 0.329 0.301 0.243
Tm: 0.080 0.160 0.877

formation energy = 0.128 eV per atom
energy above the lowest structure with this stoichiometry = 64 meV per atom
final energy = -84.35 eV/cell